DFT (GGA+U) results for Y2ScCrO6 after structural relaxation.

The structure in extended XYZ format:
```
10
Lattice="5.379 0.000 0.000 0.000 5.379 0.000 0.000 0.000 4.708" Properties=species:S:1:pos:R:3 pbc="T T T"
Y 0.000 2.689 0.000
Y 2.689 0.000 0.000
Sc 0.000 0.000 2.762
Cr 2.689 2.689 2.917
O 0.000 0.000 0.806
O 1.358 1.358 3.440
O 1.358 4.020 3.440
O 2.689 2.689 0.967
O 4.020 1.358 3.440
O 4.020 4.020 3.440
```

* space-group type: P4mm, No. 99
* magnetization: 3.00 μB/f.u.
* total energy: -8.55 eV/atom